Record 1
Computed, not measured: a crystal of SrLi3Zr relaxed with PBEsol at the SCAN level of DFT.

Lattice parameters (Å, degrees): 4.9497 4.9497 4.9497 90.00 90.00 90.00
Atoms (fractional coordinates):
Sr 0.0000 0.0000 0.0000
Li 0.0000 0.5000 0.0000
Li 0.0000 0.0000 0.5000
Li 0.5000 0.0000 0.0000
Zr 0.5000 0.5000 0.5000

## Properties
Volume: 121 Å³/f.u.
Total energy: -10.956 eV/atom
Calculated formation energy: 1.073 eV per atom


Record 2
Computed, not measured: a crystal of BaZnPb2S relaxed with PBEsol at the SCAN level of DFT.

Lattice parameters (Å, degrees): 4.9972 4.9972 6.6529 90.00 90.00 90.00
Atoms (fractional coordinates):
Pb 0.5000 0.0000 0.0000
Pb 0.0000 0.5000 0.0000
S 0.5000 0.5000 0.5000
Zn 0.0000 0.0000 0.0000
Ba 0.0000 0.0000 0.5000

## Properties
Volume: 166 Å³/f.u.
ΔE_f (raw): -0.230 eV/atom
Total energy: -43.081 eV/atom


Record 3
Computed, not measured: a crystal of SrNb3Cd relaxed with PBEsol at the SCAN level of DFT.

Lattice parameters (Å, degrees): 4.8271 4.8271 4.8271 90.00 90.00 90.00
Atoms (fractional coordinates):
Nb 0.5000 0.0000 0.0000
Nb 0.0000 0.0000 0.5000
Nb 0.0000 0.5000 0.0000
Sr 0.0000 0.0000 0.0000
Cd 0.5000 0.5000 0.5000

## Properties
Volume: 112 Å³/f.u.
Total energy: -27.950 eV/atom
Calculated formation energy: 2.465 eV per atom


Record 4
Computed, not measured: a crystal of Li3Er3Te2O12 relaxed with PBEsol at the SCAN level of DFT.

Lattice parameters (Å, degrees): 10.5407 10.5407 10.5407 109.47 109.47 109.47
Atoms (fractional coordinates):
Li 0.6250 0.3750 0.2500
Li 0.6250 0.2500 0.8750
Li 0.7500 0.6250 0.8750
Li 0.2500 0.3750 0.1250
Li 0.3750 0.7500 0.1250
Li 0.1250 0.8750 0.2500
Li 0.8750 0.1250 0.7500
Li 0.7500 0.1250 0.3750
Li 0.2500 0.8750 0.6250
Li 0.3750 0.6250 0.7500
Li 0.8750 0.7500 0.6250
Li 0.1250 0.2500 0.3750
O 0.4708 0.2976 0.8784
O 0.4193 0.6216 0.5924
O 0.0292 0.9076 0.8268
O 0.6732 0.7024 0.5807
O 0.1216 0.2024 0.5292
O 0.1732 0.5924 0.9708
O 0.3268 0.0292 0.4076
O 0.5292 0.7024 0.1216
O 0.8268 0.4076 0.0292
O 0.9193 0.5924 0.6216
O 0.2976 0.3784 0.9708
O 0.5924 0.4708 0.6732
O 0.6216 0.5292 0.2024
O 0.5292 0.8268 0.9076
O 0.3784 0.9076 0.0807
O 0.5807 0.2024 0.6732
O 0.2024 0.0292 0.6216
O 0.5924 0.1216 0.4193
O 0.9193 0.3268 0.7976
O 0.3268 0.2976 0.4193
O 0.4076 0.8784 0.5807
O 0.4193 0.7976 0.3268
O 0.7024 0.0807 0.1732
O 0.8784 0.0807 0.9076
O 0.7976 0.8268 0.9193
O 0.0807 0.6732 0.2024
O 0.9076 0.3268 0.5292
O 0.0807 0.4076 0.3784
O 0.1732 0.5807 0.7024
O 0.7024 0.6216 0.0292
O 0.9708 0.8784 0.2976
O 0.6216 0.0924 0.9193
O 0.5807 0.3784 0.4076
O 0.3784 0.4708 0.7976
O 0.8268 0.4193 0.2976
O 0.1216 0.9193 0.0924
O 0.0924 0.6732 0.4708
O 0.4076 0.5292 0.3268
O 0.9708 0.0924 0.1732
O 0.2976 0.9193 0.8268
O 0.2024 0.1732 0.0807
O 0.8784 0.7976 0.4708
O 0.9076 0.5807 0.8784
O 0.0292 0.1216 0.7024
O 0.0924 0.4193 0.1216
O 0.4708 0.1732 0.0924
O 0.7976 0.9708 0.3784
O 0.6732 0.9708 0.5924
Te 0.5000 0.0000 0.0000
Te 0.0000 0.5000 0.0000
Te 0.0000 0.0000 0.0000
Te 0.5000 0.5000 0.5000
Te 0.5000 0.5000 0.0000
Te 0.0000 0.0000 0.5000
Te 0.0000 0.5000 0.5000
Te 0.5000 0.0000 0.5000
Er 0.1250 0.3750 0.7500
Er 0.8750 0.6250 0.2500
Er 0.7500 0.3750 0.6250
Er 0.3750 0.2500 0.6250
Er 0.3750 0.1250 0.2500
Er 0.8750 0.2500 0.1250
Er 0.1250 0.7500 0.8750
Er 0.7500 0.8750 0.1250
Er 0.6250 0.7500 0.3750
Er 0.2500 0.6250 0.3750
Er 0.6250 0.8750 0.7500
Er 0.2500 0.1250 0.8750

## Properties
Volume: 225 Å³/f.u.
ΔE_f (raw): -2.608 eV/atom
Total energy: -17.981 eV/atom


Record 5
Computed, not measured: a crystal of Cd2SbSe relaxed with PBEsol at the SCAN level of DFT.

Lattice parameters (Å, degrees): 5.0512 5.0512 5.0512 60.00 60.00 60.00
Atoms (fractional coordinates):
Cd 0.0000 0.0000 0.0000
Cd 0.7500 0.7500 0.7500
Se 0.2500 0.2500 0.2500
Sb 0.5000 0.5000 0.5000

## Properties
Volume: 91 Å³/f.u.
ΔE_f (raw): 0.196 eV/atom
Total energy: -29.346 eV/atom


Record 6
Computed, not measured: a crystal of YAgAs2 relaxed with PBEsol at the SCAN level of DFT.

Lattice parameters (Å, degrees): 4.2430 4.2430 5.9408 69.08 69.08 60.00
Atoms (fractional coordinates):
As 0.7433 0.7433 0.7702
As 0.2567 0.2567 0.2298
Ag 0.0000 0.0000 0.0000
Y 0.5000 0.5000 0.5000

## Properties
Volume: 84 Å³/f.u.
Total energy: -25.392 eV/atom
Calculated formation energy: -0.494 eV per atom


Record 7
Computed, not measured: a crystal of Mg3SnPb relaxed with PBEsol at the SCAN level of DFT.

Lattice parameters (Å, degrees): 5.3329 5.3329 5.3329 90.00 90.00 90.00
Atoms (fractional coordinates):
Mg 0.0000 0.0000 0.5000
Mg 0.5000 0.0000 0.0000
Mg 0.0000 0.5000 0.0000
Sn 0.5000 0.5000 0.5000
Pb 0.0000 0.0000 0.0000

## Properties
Volume: 152 Å³/f.u.
Total energy: -25.020 eV/atom
Calculated formation energy: 0.305 eV per atom


Record 8
Computed, not measured: a crystal of Sb3P relaxed with PBEsol at the SCAN level of DFT.

Lattice parameters (Å, degrees): 5.9131 6.0481 6.0481 94.60 90.00 90.00
Atoms (fractional coordinates):
Sb 0.7500 0.2453 0.7547
Sb 0.2500 0.2327 0.2918
Sb 0.7500 0.2918 0.2327
Sb 0.2500 0.7082 0.7673
Sb 0.7500 0.7673 0.7082
Sb 0.2500 0.7547 0.2453
P 0.7500 0.7225 0.2775
P 0.2500 0.2775 0.7225

## Properties
Volume: 108 Å³/f.u.
Distance to the lowest polymorph of the same formula: 0 meV per atom
ΔE_f (raw): 0.122 eV/atom
Total energy: -30.423 eV/atom